Record 1
A relaxed structure of Hf2CdO4. Source: OQMD, functional GGA-PBE.

uncorrected energy: -57.87 eV per formula unit
spin magnetization: 0.08 μB per cell

abc: 6.603 6.603 6.603
angles: 60.00 60.00 60.00
Sites, in units of the cell vectors:
1 Hf 0.000 0.000 0.000
2 Hf 0.000 0.000 0.500
3 Hf 0.000 0.500 0.000
4 Hf 0.500 0.000 0.000
5 Cd 0.375 0.375 0.375
6 Cd 0.625 0.625 0.625
7 O 0.181 0.773 0.773
8 O 0.227 0.227 0.227
9 O 0.227 0.227 0.819
10 O 0.227 0.819 0.227
11 O 0.773 0.181 0.773
12 O 0.773 0.773 0.181
13 O 0.773 0.773 0.773
14 O 0.819 0.227 0.227

---

Record 2
A relaxed structure of ScCdNiPb. Source: OQMD, functional GGA-PBE.

uncorrected energy: -16.78 eV per formula unit
spin magnetization: 0.01 μB per cell

abc: 6.776 6.776 6.776
angles: 90.00 90.00 90.00
Sites, in units of the cell vectors:
1 Sc 0.000 0.000 0.000
2 Sc 0.000 0.500 0.500
3 Sc 0.500 0.000 0.500
4 Sc 0.500 0.500 0.000
5 Cd 0.250 0.250 0.750
6 Cd 0.250 0.750 0.250
7 Cd 0.750 0.250 0.250
8 Cd 0.750 0.750 0.750
9 Ni 0.000 0.000 0.500
10 Ni 0.000 0.500 0.000
11 Ni 0.500 0.000 0.000
12 Ni 0.500 0.500 0.500
13 Pb 0.250 0.250 0.250
14 Pb 0.250 0.750 0.750
15 Pb 0.750 0.250 0.750
16 Pb 0.750 0.750 0.250

---

Record 3
A relaxed structure of NbHg2Pb. Source: OQMD, functional GGA-PBE.

uncorrected energy: -11.95 eV per formula unit
spin magnetization: 9.74 μB per cell

abc: 7.232 7.232 7.232
angles: 90.00 90.00 90.00
Sites, in units of the cell vectors:
1 Nb 0.000 0.000 0.000
2 Nb 0.000 0.500 0.500
3 Nb 0.500 0.000 0.500
4 Nb 0.500 0.500 0.000
5 Hg 0.000 0.000 0.500
6 Hg 0.000 0.500 0.000
7 Hg 0.250 0.250 0.250
8 Hg 0.250 0.750 0.750
9 Hg 0.500 0.000 0.000
10 Hg 0.500 0.500 0.500
11 Hg 0.750 0.250 0.750
12 Hg 0.750 0.750 0.250
13 Pb 0.250 0.250 0.750
14 Pb 0.250 0.750 0.250
15 Pb 0.750 0.250 0.250
16 Pb 0.750 0.750 0.750

---

Record 4
A relaxed structure of LaPr2Si2Ge2Pd4. Source: OQMD, functional GGA-PBE.

uncorrected energy: -65.59 eV per formula unit
spin magnetization: 0.02 μB per cell

abc: 12.805 12.805 12.805
angles: 161.15 160.32 27.38
Sites, in units of the cell vectors:
1 La 0.000 0.000 0.000
2 Pr 0.351 0.851 0.500
3 Pr 0.649 0.149 0.500
4 Si 0.198 0.698 0.500
5 Si 0.802 0.302 0.500
6 Ge 0.449 0.449 0.000
7 Ge 0.551 0.551 0.000
8 Pd 0.101 0.601 0.500
9 Pd 0.249 0.249 0.000
10 Pd 0.751 0.751 0.000
11 Pd 0.899 0.399 0.500

---

Record 5
A relaxed structure of HfZnAu2. Source: OQMD, functional GGA-PBE.

ΔE_f: -384 meV/atom
spin magnetization: 0.01 μB per cell

abc: 3.181 3.181 7.071
angles: 90.00 90.00 90.00
Sites, in units of the cell vectors:
1 Hf 0.000 0.000 0.000
2 Zn 0.000 0.000 0.500
3 Au 0.500 0.500 0.267
4 Au 0.500 0.500 0.733

---

Record 6
A relaxed structure of BaErHg6. Source: OQMD, functional GGA-PBE.

uncorrected energy: -10.76 eV per formula unit
spin magnetization: 0.02 μB per cell

abc: 6.829 6.829 5.165
angles: 90.00 90.00 120.00
Sites, in units of the cell vectors:
1 Ba 0.000 0.000 0.000
2 Er 0.667 0.333 0.500
3 Hg 0.179 0.358 0.500
4 Hg 0.179 0.821 0.500
5 Hg 0.504 0.009 0.000
6 Hg 0.504 0.496 0.000
7 Hg 0.642 0.821 0.500
8 Hg 0.991 0.496 0.000

---

Record 7
A relaxed structure of ZnNi3. Source: OQMD, functional GGA-PBE.

ΔE_f: -113 meV/atom
spin magnetization: 2.78 μB per cell

abc: 5.057 5.057 14.379
angles: 90.00 90.00 120.00
Sites, in units of the cell vectors:
1 Zn 0.000 0.000 0.000
2 Zn 0.000 0.000 0.286
3 Zn 0.000 0.000 0.714
4 Zn 0.333 0.667 0.143
5 Zn 0.333 0.667 0.571
6 Zn 0.667 0.333 0.429
7 Zn 0.667 0.333 0.857
8 Ni 0.000 0.500 0.000
9 Ni 0.001 0.500 0.714
10 Ni 0.166 0.333 0.428
11 Ni 0.166 0.834 0.428
12 Ni 0.168 0.336 0.857
13 Ni 0.168 0.832 0.857
14 Ni 0.333 0.166 0.572
15 Ni 0.336 0.168 0.143
16 Ni 0.500 0.000 0.000
17 Ni 0.500 0.001 0.286
18 Ni 0.500 0.500 0.000
19 Ni 0.500 0.500 0.286
20 Ni 0.500 0.500 0.714
21 Ni 0.500 0.999 0.714
22 Ni 0.664 0.832 0.857
23 Ni 0.667 0.834 0.428
24 Ni 0.832 0.168 0.143
25 Ni 0.832 0.664 0.143
26 Ni 0.834 0.166 0.572
27 Ni 0.834 0.667 0.572
28 Ni 0.999 0.500 0.286

---

Record 8
A relaxed structure of Er2Se3. Source: OQMD, functional GGA-PBE.

uncorrected energy: -28.64 eV per formula unit
spin magnetization: 0.02 μB per cell

abc: 4.091 4.091 30.786
angles: 90.00 90.00 120.00
Sites, in units of the cell vectors:
1 Er 0.000 0.000 0.227
2 Er 0.000 0.000 0.773
3 Er 0.333 0.667 0.440
4 Er 0.333 0.667 0.894
5 Er 0.667 0.333 0.106
6 Er 0.667 0.333 0.560
7 Se 0.000 0.000 0.062
8 Se 0.000 0.000 0.500
9 Se 0.000 0.000 0.938
10 Se 0.333 0.667 0.167
11 Se 0.333 0.667 0.605
12 Se 0.333 0.667 0.728
13 Se 0.667 0.333 0.272
14 Se 0.667 0.333 0.395
15 Se 0.667 0.333 0.833

---

Record 9
A relaxed structure of SrCoNiSe3. Source: OQMD, functional GGA-PBE.

uncorrected energy: -28.59 eV per formula unit
spin magnetization: 2.33 μB per cell

abc: 6.912 6.912 9.570
angles: 90.00 90.00 147.43
Sites, in units of the cell vectors:
1 Sr 0.247 0.753 0.750
2 Sr 0.753 0.247 0.250
3 Co 0.466 0.534 0.250
4 Co 0.534 0.466 0.750
5 Ni 0.000 0.000 0.000
6 Ni 0.000 0.000 0.500
7 Se 0.062 0.938 0.250
8 Se 0.372 0.628 0.042
9 Se 0.372 0.628 0.458
10 Se 0.628 0.372 0.542
11 Se 0.628 0.372 0.958
12 Se 0.938 0.062 0.750

---

Record 10
A relaxed structure of PmBeCo. Source: OQMD, functional GGA-PBE.

uncorrected energy: -12.48 eV per formula unit
spin magnetization: 0.01 μB per cell

abc: 6.308 6.308 6.308
angles: 90.00 90.00 90.00
Sites, in units of the cell vectors:
1 Pm 0.000 0.000 0.000
2 Pm 0.000 0.500 0.500
3 Pm 0.500 0.000 0.500
4 Pm 0.500 0.500 0.000
5 Be 0.250 0.250 0.750
6 Be 0.250 0.750 0.250
7 Be 0.750 0.250 0.250
8 Be 0.750 0.750 0.750
9 Co 0.250 0.250 0.250
10 Co 0.250 0.750 0.750
11 Co 0.750 0.250 0.750
12 Co 0.750 0.750 0.250

---

Record 11
A relaxed structure of Lu7Au2Se2. Source: OQMD, functional GGA-PBE.

uncorrected energy: -55.43 eV per formula unit
spin magnetization: 0.26 μB per cell

abc: 8.934 8.934 8.934
angles: 154.74 68.89 117.11
Sites, in units of the cell vectors:
1 Lu 0.000 0.000 0.000
2 Lu 0.285 0.406 0.879
3 Lu 0.300 0.618 0.682
4 Lu 0.527 0.406 0.121
5 Lu 0.615 0.247 0.367
6 Lu 0.880 0.247 0.633
7 Lu 0.936 0.618 0.318
8 Au 0.152 0.916 0.237
9 Au 0.679 0.916 0.763
10 Se 0.256 0.756 0.500
11 Se 0.650 0.650 0.000

---

Record 12
A relaxed structure of TbHfPd. Source: OQMD, functional GGA-PBE.

ΔE_f: -165 meV/atom
spin magnetization: 0.18 μB per cell

abc: 6.668 6.668 6.668
angles: 90.00 90.00 90.00
Sites, in units of the cell vectors:
1 Tb 0.000 0.000 0.000
2 Tb 0.000 0.500 0.500
3 Tb 0.500 0.000 0.500
4 Tb 0.500 0.500 0.000
5 Hf 0.000 0.000 0.500
6 Hf 0.000 0.500 0.000
7 Hf 0.500 0.000 0.000
8 Hf 0.500 0.500 0.500
9 Pd 0.250 0.250 0.750
10 Pd 0.250 0.750 0.250
11 Pd 0.750 0.250 0.250
12 Pd 0.750 0.750 0.750

---

Record 13
A relaxed structure of BeNbOs. Source: OQMD, functional GGA-PBE.

uncorrected energy: -24.33 eV per formula unit
spin magnetization: 0.00 μB per cell

abc: 5.587 5.587 5.587
angles: 90.00 90.00 90.00
Sites, in units of the cell vectors:
1 Be 0.000 0.000 0.000
2 Be 0.000 0.500 0.500
3 Be 0.500 0.000 0.500
4 Be 0.500 0.500 0.000
5 Nb 0.250 0.250 0.750
6 Nb 0.250 0.750 0.250
7 Nb 0.750 0.250 0.250
8 Nb 0.750 0.750 0.750
9 Os 0.250 0.250 0.250
10 Os 0.250 0.750 0.750
11 Os 0.750 0.250 0.750
12 Os 0.750 0.750 0.250

---

Record 14
A relaxed structure of Hf2B2Pb. Source: OQMD, functional GGA-PBE.

uncorrected energy: -39.46 eV per formula unit
spin magnetization: 0.00 μB per cell

abc: 3.127 15.327 3.333
angles: 90.00 90.00 90.00
Sites, in units of the cell vectors:
1 Hf 0.000 0.159 0.000
2 Hf 0.000 0.841 0.000
3 Hf 0.500 0.341 0.000
4 Hf 0.500 0.659 0.000
5 B 0.000 0.274 0.500
6 B 0.000 0.726 0.500
7 B 0.500 0.226 0.500
8 B 0.500 0.774 0.500
9 Pb 0.000 0.500 0.500
10 Pb 0.500 0.000 0.500

---

Record 15
A relaxed structure of Gd3BiAu9. Source: OQMD, functional GGA-PBE.

uncorrected energy: -56.01 eV per formula unit
spin magnetization: 0.02 μB per cell

abc: 8.340 8.340 9.191
angles: 90.00 90.00 120.00
Sites, in units of the cell vectors:
1 Gd 0.036 0.326 0.250
2 Gd 0.290 0.964 0.250
3 Gd 0.326 0.290 0.750
4 Gd 0.674 0.710 0.250
5 Gd 0.710 0.036 0.750
6 Gd 0.964 0.674 0.750
7 Bi 0.000 0.000 0.000
8 Bi 0.000 0.000 0.500
9 Au 0.034 0.372 0.591
10 Au 0.034 0.372 0.909
11 Au 0.333 0.667 0.084
12 Au 0.333 0.667 0.416
13 Au 0.333 0.667 0.750
14 Au 0.338 0.966 0.591
15 Au 0.338 0.966 0.909
16 Au 0.372 0.338 0.091
17 Au 0.372 0.338 0.409
18 Au 0.628 0.662 0.591
19 Au 0.628 0.662 0.909
20 Au 0.662 0.034 0.091
21 Au 0.662 0.034 0.409
22 Au 0.667 0.333 0.250
23 Au 0.667 0.333 0.584
24 Au 0.667 0.333 0.916
25 Au 0.966 0.628 0.091
26 Au 0.966 0.628 0.409

---

Record 16
A relaxed structure of LaTbMo2C3. Source: OQMD, functional GGA-PBE.

uncorrected energy: -60.48 eV per formula unit
spin magnetization: 0.00 μB per cell

abc: 11.415 3.465 5.876
angles: 90.00 105.83 90.00
Sites, in units of the cell vectors:
1 La 0.000 0.000 0.000
2 La 0.500 0.500 0.000
3 Tb 0.280 0.500 0.351
4 Tb 0.780 0.000 0.351
5 Mo 0.045 0.500 0.556
6 Mo 0.239 0.000 0.785
7 Mo 0.545 0.000 0.556
8 Mo 0.739 0.500 0.785
9 C 0.119 0.000 0.441
10 C 0.172 0.500 0.907
11 C 0.389 0.000 0.660
12 C 0.619 0.500 0.441
13 C 0.672 0.000 0.907
14 C 0.889 0.500 0.660

---

Record 17
A relaxed structure of NaInCoTe3. Source: OQMD, functional GGA-PBE.

uncorrected energy: -22.49 eV per formula unit
spin magnetization: 0.00 μB per cell

abc: 8.942 4.212 9.647
angles: 90.00 115.88 90.00
Sites, in units of the cell vectors:
1 Na 0.003 0.250 0.231
2 Na 0.997 0.750 0.769
3 In 0.406 0.750 0.624
4 In 0.594 0.250 0.376
5 Co 0.492 0.250 0.826
6 Co 0.508 0.750 0.174
7 Te 0.171 0.250 0.629
8 Te 0.296 0.750 0.296
9 Te 0.363 0.250 0.014
10 Te 0.637 0.750 0.986
11 Te 0.704 0.250 0.704
12 Te 0.829 0.750 0.371

---

Record 18
A relaxed structure of GdMgAgTe2Se. Source: OQMD, functional GGA-PBE.

uncorrected energy: -23.94 eV per formula unit
spin magnetization: 0.01 μB per cell

abc: 7.291 7.291 10.995
angles: 90.00 90.00 147.06
Sites, in units of the cell vectors:
1 Gd 0.000 0.000 0.000
2 Gd 0.000 0.000 0.500
3 Mg 0.254 0.746 0.750
4 Mg 0.746 0.254 0.250
5 Ag 0.484 0.516 0.250
6 Ag 0.516 0.484 0.750
7 Te 0.345 0.655 0.070
8 Te 0.345 0.655 0.430
9 Te 0.655 0.345 0.570
10 Te 0.655 0.345 0.930
11 Se 0.107 0.893 0.250
12 Se 0.893 0.107 0.750

---

Record 19
A relaxed structure of Sm2Y2Al3. Source: OQMD, functional GGA-PBE.

uncorrected energy: -35.09 eV per formula unit
spin magnetization: 0.05 μB per cell

abc: 12.231 4.977 6.715
angles: 90.00 114.11 90.00
Sites, in units of the cell vectors:
1 Sm 0.179 0.000 0.294
2 Sm 0.321 0.500 0.706
3 Sm 0.679 0.500 0.294
4 Sm 0.821 0.000 0.706
5 Y 0.046 0.500 0.781
6 Y 0.454 0.000 0.219
7 Y 0.546 0.000 0.781
8 Y 0.954 0.500 0.219
9 Al 0.000 0.000 0.500
10 Al 0.214 0.000 0.835
11 Al 0.286 0.500 0.165
12 Al 0.500 0.500 0.500
13 Al 0.714 0.500 0.835
14 Al 0.786 0.000 0.165

---

Record 20
A relaxed structure of LiFeCoPb. Source: OQMD, functional GGA-PBE.

uncorrected energy: -20.40 eV per formula unit
spin magnetization: 15.98 μB per cell

abc: 6.127 6.127 6.127
angles: 90.00 90.00 90.00
Sites, in units of the cell vectors:
1 Li 0.000 0.000 0.000
2 Li 0.000 0.500 0.500
3 Li 0.500 0.000 0.500
4 Li 0.500 0.500 0.000
5 Fe 0.250 0.250 0.250
6 Fe 0.250 0.750 0.750
7 Fe 0.750 0.250 0.750
8 Fe 0.750 0.750 0.250
9 Co 0.000 0.000 0.500
10 Co 0.000 0.500 0.000
11 Co 0.500 0.000 0.000
12 Co 0.500 0.500 0.500
13 Pb 0.250 0.250 0.750
14 Pb 0.250 0.750 0.250
15 Pb 0.750 0.250 0.250
16 Pb 0.750 0.750 0.750